[1]
Entry from Alexandria via LeMat-Bulk: crystalline RePd2RuBr at its relaxed geometry (PBE).

a = 4.6020 Å, b = 4.6559 Å, c = 4.6020 Å
α = 90.00°, β = 90.00°, γ = 90.00°
Last column: nearest neighbours and their distance in Å.
Fractional positions:
Re: 0.0000 0.5000 0.0000  2 Br 2.33
Br: 0.0000 0.0000 0.0000  4 Pd 2.30, 2 Re 2.33
Pd: 0.0000 0.0000 0.5000  2 Br 2.30
Pd: 0.5000 0.0000 0.0000  2 Br 2.30
Ru: 0.5000 0.5000 0.5000  4 Re 3.25, 8 Pd 3.27



[2]
Entry from Alexandria via LeMat-Bulk: crystalline RePdSeBr2 at its relaxed geometry (PBE).

a = 5.2112 Å, b = 5.2112 Å, c = 4.7063 Å
α = 90.00°, β = 90.00°, γ = 90.00°
Last column: nearest neighbours and their distance in Å.
Fractional positions:
Re: 0.0000 0.0000 0.0000  2 Se 2.35, 4 Br 2.61
Se: 0.0000 0.0000 0.5000  2 Re 2.35
Br: 0.0000 0.5000 0.0000  2 Re 2.61
Br: 0.5000 0.0000 0.0000  2 Re 2.61
Pd: 0.5000 0.5000 0.5000  8 Br 3.51, 4 Se 3.68

Output
**Relative energy among the computed polymorphs**: 0 meV per atom



[3]
Entry from Alexandria via LeMat-Bulk: crystalline ReTcPdBr2 at its relaxed geometry (PBE).

a = 4.9784 Å, b = 4.8899 Å, c = 4.9784 Å
α = 90.00°, β = 90.00°, γ = 90.00°
Last column: nearest neighbours and their distance in Å.
Fractional positions:
Re: 0.0000 0.0000 0.0000  2 Tc 2.44, 4 Br 2.49
Br: 0.0000 0.0000 0.5000  2 Re 2.49
Br: 0.5000 0.0000 0.0000  2 Re 2.49
Tc: 0.0000 0.5000 0.0000  2 Re 2.44
Pd: 0.5000 0.5000 0.5000  8 Br 3.49, 4 Tc 3.52



Calculated V in order - 19.721, 25.561, 24.239 A^3/atom
Calculated energy relative to the elements, uncorrected in order - 1.77, 0.72, 1.41 eV/atom